(1)
The following is a meta-GGA SCAN calculation of a crystal of Pb2BrCl relaxed with PBEsol, from Alexandria via LeMat-Bulk.

```
Pb2BrCl
1.0
-3.530 1.019 -0.257
-2.100 -1.948 -5.264
-3.342 -4.971 -0.200
Pb Br Cl
2 1 1
direct
0.257 0.743 0.743
0.743 0.257 0.257
0.500 0.000 0.000
0.000 0.500 0.500
```

Computed properties:
As for the total DFT energy (no corrections): -45.35 eV per atom. The space-group type is No. 71. Its uncorrected formation energy is -597 meV/atom.



(2)
The following is a meta-GGA SCAN calculation of a crystal of RePbBrCl2 relaxed with PBEsol, from Alexandria via LeMat-Bulk.

```
RePbBrCl2
1.0
-0.114 1.996 -5.096
0.328 -5.085 -1.999
-5.803 -0.369 -0.014
Pb Re Br Cl
1 1 1 2
direct
0.000 0.000 0.000
0.500 0.500 0.500
0.000 0.000 0.500
0.000 0.500 0.000
0.500 0.000 0.000
```

Computed properties:
As for the total DFT energy (no corrections): -35.87 eV per atom. The space-group type is No. 123. Its uncorrected formation energy is 586 meV/atom.



(3)
The following is a meta-GGA SCAN calculation of a crystal of Pd3BrCl relaxed with PBEsol, from Alexandria via LeMat-Bulk.

```
Pd3BrCl
1.0
4.710 0.000 0.000
0.000 4.710 0.000
0.000 0.000 4.710
Br Pd Cl
1 3 1
direct
0.000 0.000 0.000
0.000 0.500 0.000
0.000 0.000 0.500
0.500 0.000 0.000
0.500 0.500 0.500
```

Computed properties:
Its energy above the most stable polymorph in this dataset is 0.70 eV per formula unit. As for the total DFT energy (no corrections): -24.63 eV per atom. The space-group type is No. 221. Its uncorrected formation energy is 521 meV/atom.



What did the third record say?
The following is a meta-GGA SCAN calculation of a crystal of Pd3BrCl relaxed with PBEsol, from Alexandria via LeMat-Bulk.

```
Pd3BrCl
1.0
4.710 0.000 0.000
0.000 4.710 0.000
0.000 0.000 4.710
Br Pd Cl
1 3 1
direct
0.000 0.000 0.000
0.000 0.500 0.000
0.000 0.000 0.500
0.500 0.000 0.000
0.500 0.500 0.500
```

Computed properties:
Its energy above the most stable polymorph in this dataset is 0.70 eV per formula unit. As for the total DFT energy (no corrections): -24.63 eV per atom. The space-group type is No. 221. Its uncorrected formation energy is 521 meV/atom.